{
  "formula": "LiFe3SiPO8",
  "functional": "GGA+U",
  "state": "relaxed",
  "magnetic_moment_mub_per_fu": 12.0,
  "polymorph_energy_ev_per_atom": 0.000,
  "n_ef_per_ev_cell": 0.00,
  "energy_ev_per_cell": -197.21,
  "spacegroup": "No. 11",
  "lattice": [[4.831, 0.000, 0.000], [0.000, 6.129, 0.000], [-0.087, 0.000, 10.533]],
  "species": ["Li", "Li", "Fe", "Fe", "Fe", "Fe", "Fe", "Fe", "Si", "Si", "P", "P", "O", "O", "O", "O", "O", "O", "O", "O", "O", "O", "O", "O", "O", "O", "O", "O"],
  "fractional_positions": [[0.000, 0.000, 0.000], [0.000, 0.500, 0.000], [0.029, 0.250, 0.725], [0.491, 0.250, 0.215], [0.500, 0.000, 0.500], [0.500, 0.500, 0.500], [0.509, 0.750, 0.785], [0.971, 0.750, 0.275], [0.071, 0.750, 0.597], [0.929, 0.250, 0.403], [0.417, 0.750, 0.094], [0.583, 0.250, 0.906], [0.205, 0.750, 0.452], [0.216, 0.537, 0.667], [0.216, 0.963, 0.667], [0.265, 0.250, 0.907], [0.268, 0.250, 0.404], [0.287, 0.750, 0.958], [0.289, 0.547, 0.164], [0.289, 0.953, 0.164], [0.711, 0.047, 0.836], [0.711, 0.453, 0.836], [0.713, 0.250, 0.042], [0.732, 0.750, 0.596], [0.735, 0.750, 0.093], [0.784, 0.037, 0.333], [0.784, 0.463, 0.333], [0.795, 0.250, 0.548]]
}



{
  "formula": "LiFe3SiPO8",
  "functional": "GGA+U",
  "state": "relaxed",
  "magnetic_moment_mub_per_fu": 12.0,
  "polymorph_energy_ev_per_atom": 0.098,
  "n_ef_per_ev_cell": 0.00,
  "energy_ev_per_cell": -194.46,
  "spacegroup": "No. 7",
  "lattice": [[5.558, 0.000, 0.000], [0.000, 7.127, 0.000], [-5.347, 0.000, 8.334]],
  "species": ["Li", "Li", "Fe", "Fe", "Fe", "Fe", "Fe", "Fe", "Si", "Si", "P", "P", "O", "O", "O", "O", "O", "O", "O", "O", "O", "O", "O", "O", "O", "O", "O", "O"],
  "fractional_positions": [[0.000, 0.199, 0.000], [0.000, 0.801, 0.500], [0.294, 0.054, 0.804], [0.294, 0.946, 0.304], [0.326, 0.344, 0.556], [0.326, 0.656, 0.056], [0.605, 0.426, 0.365], [0.605, 0.574, 0.865], [0.030, 0.489, 0.755], [0.030, 0.511, 0.255], [0.671, 0.051, 0.169], [0.671, 0.949, 0.669], [0.016, 0.457, 0.918], [0.016, 0.543, 0.418], [0.189, 0.303, 0.285], [0.189, 0.697, 0.785], [0.278, 0.352, 0.756], [0.278, 0.648, 0.256], [0.392, 0.062, 0.624], [0.392, 0.938, 0.124], [0.638, 0.240, 0.227], [0.638, 0.760, 0.727], [0.686, 0.063, 0.017], [0.686, 0.937, 0.517], [0.717, 0.436, 0.595], [0.717, 0.564, 0.095], [0.933, 0.061, 0.801], [0.933, 0.939, 0.301]]
}



{
  "formula": "Li2FeSnP2O8",
  "functional": "GGA+U",
  "state": "relaxed",
  "magnetic_moment_mub_per_fu": 4.0,
  "n_ef_per_ev_cell": 0.00,
  "energy_ev_per_cell": -185.23,
  "spacegroup": "No. 11",
  "lattice": [[4.862, 0.000, 0.000], [0.000, 6.301, 0.000], [-0.002, 0.000, 11.268]],
  "species": ["Li", "Li", "Li", "Li", "Fe", "Fe", "Sn", "Sn", "P", "P", "P", "P", "O", "O", "O", "O", "O", "O", "O", "O", "O", "O", "O", "O", "O", "O", "O", "O"],
  "fractional_positions": [[0.000, 0.000, 0.000], [0.000, 0.500, 0.000], [0.500, 0.000, 0.500], [0.500, 0.500, 0.500], [0.061, 0.250, 0.295], [0.939, 0.750, 0.705], [0.479, 0.250, 0.780], [0.521, 0.750, 0.220], [0.083, 0.750, 0.423], [0.350, 0.750, 0.886], [0.650, 0.250, 0.114], [0.917, 0.250, 0.577], [0.202, 0.553, 0.827], [0.202, 0.947, 0.827], [0.204, 0.750, 0.551], [0.211, 0.550, 0.359], [0.211, 0.950, 0.359], [0.234, 0.250, 0.583], [0.257, 0.750, 0.018], [0.338, 0.250, 0.132], [0.662, 0.750, 0.868], [0.743, 0.250, 0.982], [0.766, 0.750, 0.417], [0.789, 0.050, 0.641], [0.789, 0.450, 0.641], [0.796, 0.250, 0.449], [0.798, 0.053, 0.173], [0.798, 0.447, 0.173]]
}



{
  "formula": "Li2VFeP4O14",
  "functional": "GGA+U",
  "state": "relaxed",
  "magnetic_moment_mub_per_fu": 4.3,
  "polymorph_energy_ev_per_atom": 0.033,
  "energy_ev_per_cell": -467.27,
  "spacegroup": "No. 1",
  "lattice": [[4.884, 0.000, 0.000], [-2.219, 6.663, 0.000], [-0.045, -0.022, 24.750]],
  "species": ["Li", "Li", "Li", "Li", "Li", "Li", "V", "V", "V", "Fe", "Fe", "Fe", "P", "P", "P", "P", "P", "P", "P", "P", "P", "P", "P", "P", "O", "O", "O", "O", "O", "O", "O", "O", "O", "O", "O", "O", "O", "O", "O", "O", "O", "O", "O", "O", "O", "O", "O", "O", "O", "O", "O", "O", "O", "O", "O", "O", "O", "O", "O", "O", "O", "O", "O", "O", "O", "O"],
  "fractional_positions": [[0.000, 0.000, 0.000], [0.001, 0.004, 0.331], [0.351, 0.341, 0.498], [0.352, 0.339, 0.832], [0.353, 0.347, 0.167], [0.999, 0.008, 0.665], [0.392, 0.399, 0.952], [0.961, 0.942, 0.450], [0.967, 0.944, 0.121], [0.389, 0.406, 0.618], [0.390, 0.399, 0.286], [0.960, 0.940, 0.785], [0.393, 0.756, 0.856], [0.396, 0.757, 0.523], [0.404, 0.761, 0.194], [0.574, 0.199, 0.725], [0.575, 0.198, 0.390], [0.577, 0.196, 0.060], [0.776, 0.149, 0.558], [0.778, 0.145, 0.892], [0.780, 0.156, 0.227], [0.957, 0.590, 0.690], [0.960, 0.586, 0.024], [0.961, 0.583, 0.354], [0.035, 0.792, 0.719], [0.036, 0.787, 0.382], [0.044, 0.787, 0.054], [0.129, 0.817, 0.842], [0.135, 0.821, 0.509], [0.146, 0.828, 0.180], [0.220, 0.520, 0.010], [0.222, 0.531, 0.676], [0.234, 0.529, 0.342], [0.312, 0.556, 0.553], [0.314, 0.554, 0.885], [0.315, 0.558, 0.223], [0.360, 0.158, 0.437], [0.361, 0.158, 0.772], [0.363, 0.158, 0.107], [0.421, 0.186, 0.670], [0.422, 0.184, 0.335], [0.425, 0.178, 0.005], [0.567, 0.276, 0.227], [0.572, 0.276, 0.559], [0.577, 0.274, 0.893], [0.581, 0.757, 0.807], [0.582, 0.750, 0.473], [0.582, 0.915, 0.901], [0.586, 0.917, 0.567], [0.589, 0.753, 0.144], [0.598, 0.922, 0.237], [0.769, 0.430, 0.734], [0.769, 0.590, 0.640], [0.770, 0.577, 0.304], [0.771, 0.426, 0.069], [0.772, 0.065, 0.391], [0.773, 0.590, 0.975], [0.776, 0.071, 0.725], [0.776, 0.426, 0.399], [0.779, 0.067, 0.061], [0.928, 0.163, 0.503], [0.929, 0.161, 0.837], [0.929, 0.170, 0.172], [0.989, 0.191, 0.605], [0.993, 0.184, 0.939], [0.996, 0.201, 0.274]]
}



{
  "formula": "Li4VFe3P4O16",
  "functional": "GGA+U",
  "state": "relaxed",
  "magnetic_moment_mub_per_fu": 15.0,
  "n_ef_per_ev_cell": 0.00,
  "energy_ev_per_cell": -193.61,
  "spacegroup": "No. 6",
  "lattice": [[4.757, 0.000, 0.000], [0.000, 6.090, 0.000], [-0.015, 0.000, 10.464]],
  "species": ["Li", "Li", "Li", "Li", "V", "Fe", "Fe", "Fe", "P", "P", "P", "P", "O", "O", "O", "O", "O", "O", "O", "O", "O", "O", "O", "O", "O", "O", "O", "O"],
  "fractional_positions": [[0.000, 0.248, 0.000], [0.000, 0.752, 0.000], [0.497, 0.251, 0.502], [0.497, 0.749, 0.502], [0.981, 0.500, 0.280], [0.024, 0.000, 0.721], [0.472, 0.000, 0.223], [0.525, 0.500, 0.783], [0.080, 0.500, 0.597], [0.417, 0.500, 0.096], [0.581, 0.000, 0.909], [0.907, 0.000, 0.410], [0.204, 0.500, 0.460], [0.214, 0.297, 0.668], [0.214, 0.703, 0.668], [0.230, 0.000, 0.406], [0.258, 0.000, 0.906], [0.284, 0.297, 0.167], [0.284, 0.703, 0.167], [0.292, 0.500, 0.959], [0.705, 0.000, 0.046], [0.714, 0.203, 0.838], [0.714, 0.797, 0.838], [0.740, 0.500, 0.098], [0.757, 0.500, 0.600], [0.771, 0.203, 0.341], [0.771, 0.797, 0.341], [0.788, 0.000, 0.549]]
}



{
  "formula": "Li2VFeP4O14",
  "functional": "GGA+U",
  "state": "relaxed",
  "magnetic_moment_mub_per_fu": 7.0,
  "polymorph_energy_ev_per_atom": 0.000,
  "n_ef_per_ev_cell": 0.00,
  "energy_ev_per_cell": -156.49,
  "spacegroup": "No. 1",
  "lattice": [[4.902, 0.000, 0.000], [2.227, 6.671, 0.000], [0.037, 0.043, 8.279]],
  "species": ["Li", "Li", "V", "Fe", "P", "P", "P", "P", "O", "O", "O", "O", "O", "O", "O", "O", "O", "O", "O", "O", "O", "O"],
  "fractional_positions": [[0.000, 0.000, 0.000], [0.353, 0.666, 0.500], [0.963, 0.062, 0.641], [0.390, 0.601, 0.142], [0.398, 0.248, 0.426], [0.575, 0.808, 0.822], [0.777, 0.858, 0.321], [0.959, 0.418, 0.928], [0.036, 0.217, 0.842], [0.137, 0.185, 0.468], [0.222, 0.478, 0.971], [0.314, 0.451, 0.337], [0.361, 0.848, 0.682], [0.423, 0.822, 0.987], [0.573, 0.732, 0.319], [0.583, 0.253, 0.573], [0.587, 0.090, 0.294], [0.769, 0.420, 0.076], [0.771, 0.578, 0.796], [0.775, 0.937, 0.818], [0.930, 0.842, 0.484], [0.990, 0.816, 0.179]]
}